w) First-principles (PBE) data for crystalline RbGdTe at its relaxed geometry, as listed in OQMD.

a = 5.641 Å, b = 5.641 Å, c = 11.826 Å
α = 90.00°, β = 90.00°, γ = 120.00°
Last column: magnetic moment on the atom in μB.
Element x y z (fractional)
1 Gd 0.667 0.333 0.496  -0.01
2 Gd 0.333 0.667 0.236  0.19
3 Gd 0.333 0.667 0.754  0.19
4 Te 0.667 0.333 0.214  0.00
5 Te 0.333 0.667 0.495  0.00
6 Te 0.667 0.333 0.777  0.00
7 Rb 0.000 0.000 0.653  0.01
8 Rb 0.000 0.000 0.337  0.01
9 Rb 0.000 0.000 0.995  0.02

Output
Its space group is P3m1, No. 156. As for the density: 5661 kg/m³.

***

x) First-principles (PBE) data for crystalline RbGdTe at its relaxed geometry, as listed in OQMD.

a = 5.461 Å, b = 5.461 Å, c = 5.461 Å
α = 60.00°, β = 60.00°, γ = 60.00°
Element x y z (fractional)
1 Gd 0.250 0.250 0.250
2 Rb 0.750 0.750 0.750
3 Te 0.000 0.000 0.000

Output
Its space group is F-43m, No. 216. As for the density: 5340 kg/m³.

***

The structure with the least stability is x).

***

w) First-principles (PBE) data for crystalline RbGdTmTe3 at its relaxed geometry, as listed in OQMD.

a = 8.741 Å, b = 8.741 Å, c = 11.929 Å
α = 90.00°, β = 90.00°, γ = 148.93°
Element x y z (fractional)
1 Tm 0.035 0.965 0.750
2 Tm 0.965 0.035 0.250
3 Te 0.127 0.873 0.954
4 Te 0.873 0.127 0.454
5 Te 0.432 0.568 0.750
6 Te 0.873 0.127 0.046
7 Te 0.127 0.873 0.546
8 Te 0.568 0.432 0.250
9 Rb 0.755 0.245 0.750
10 Rb 0.245 0.755 0.250
11 Gd 0.500 0.500 0.000
12 Gd 0.500 0.500 0.500

Output
Its space group is Cmcm, No. 63. As for the density: 5609 kg/m³.

***

x) First-principles (PBE) data for crystalline RbGdTmTe3 at its relaxed geometry, as listed in OQMD.

a = 8.772 Å, b = 8.772 Å, c = 11.711 Å
α = 90.00°, β = 90.00°, γ = 148.59°
Last column: magnetic moment on the atom in μB.
Element x y z (fractional)
1 Te 0.622 0.378 0.536  0.00
2 Te 0.927 0.073 0.750  -0.01
3 Te 0.073 0.927 0.250  -0.01
4 Te 0.378 0.622 0.464  0.00
5 Te 0.378 0.622 0.036  0.00
6 Te 0.622 0.378 0.964  0.00
7 Rb 0.746 0.254 0.250  0.00
8 Rb 0.254 0.746 0.750  0.00
9 Tm 0.000 0.000 0.000  0.11
10 Tm 0.000 0.000 0.500  0.11
11 Gd 0.469 0.531 0.250  0.11
12 Gd 0.531 0.469 0.750  0.11

Output
Its space group is Cmcm, No. 63. As for the density: 5619 kg/m³.

***

The structure with the least stability is x).

***

w) First-principles (PBE) data for crystalline GdReSi at its relaxed geometry, as listed in OQMD.

a = 4.627 Å, b = 4.627 Å, c = 4.627 Å
α = 60.00°, β = 60.00°, γ = 60.00°
Last column: magnetic moment on the atom in μB.
Element x y z (fractional)
1 Gd 0.000 0.000 0.000  0.08
2 Si 0.750 0.750 0.750  0.00
3 Re 0.250 0.250 0.250  1.26

Output
Its space group is F-43m, No. 216. As for the density: 8808 kg/m³.

***

x) First-principles (PBE) data for crystalline GdReSi at its relaxed geometry, as listed in OQMD.

a = 4.415 Å, b = 4.415 Å, c = 4.415 Å
α = 60.00°, β = 60.00°, γ = 60.00°
Element x y z (fractional)
1 Re 0.750 0.750 0.750
2 Gd 0.250 0.250 0.250
3 Si 0.000 0.000 0.000

Output
Its space group is F-43m, No. 216. As for the density: 10138 kg/m³.

***

The structure with the least stability is w).

***

w) First-principles (PBE) data for crystalline Gd2Sb at its relaxed geometry, as listed in OQMD.

a = 6.783 Å, b = 4.853 Å, c = 10.261 Å
α = 90.00°, β = 90.00°, γ = 90.00°
Element x y z (fractional)
1 Gd 0.917 0.250 0.789
2 Gd 0.417 0.250 0.711
3 Gd 0.083 0.750 0.211
4 Gd 0.662 0.750 0.947
5 Gd 0.338 0.250 0.053
6 Gd 0.583 0.750 0.289
7 Gd 0.162 0.750 0.553
8 Gd 0.838 0.250 0.447
9 Sb 0.310 0.250 0.375
10 Sb 0.690 0.750 0.625
11 Sb 0.810 0.250 0.125
12 Sb 0.190 0.750 0.875

Output
Its space group is Pnma, No. 62. As for the density: 8579 kg/m³.

***

x) First-principles (PBE) data for crystalline Gd2Sb at its relaxed geometry, as listed in OQMD.

a = 9.565 Å, b = 9.565 Å, c = 9.565 Å
α = 60.00°, β = 60.00°, γ = 60.00°
Last column: magnetic moment on the atom in μB.
Element x y z (fractional)
1 Gd 0.375 0.375 0.875  0.49
2 Gd 0.375 0.875 0.375  0.50
3 Gd 0.875 0.375 0.375  0.47
4 Gd 0.375 0.375 0.375  0.49
5 Sb 0.500 0.500 0.500  0.01
6 Sb 0.250 0.250 0.250  0.01

Output
Its space group is Fd-3m, No. 227. As for the density: 2342 kg/m³.

***

The structure with the least stability is x).

***

w) First-principles (PBE) data for crystalline GdTlSb at its relaxed geometry, as listed in OQMD.

a = 5.165 Å, b = 5.165 Å, c = 5.165 Å
α = 60.00°, β = 60.00°, γ = 60.00°
Element x y z (fractional)
1 Tl 0.750 0.750 0.750
2 Sb 0.250 0.250 0.250
3 Gd 0.000 0.000 0.000

Output
Its space group is F-43m, No. 216. As for the density: 8237 kg/m³.

***

x) First-principles (PBE) data for crystalline GdTlSb at its relaxed geometry, as listed in OQMD.

a = 5.157 Å, b = 5.157 Å, c = 5.157 Å
α = 60.00°, β = 60.00°, γ = 60.00°
Element x y z (fractional)
1 Tl 0.000 0.000 0.000
2 Gd 0.250 0.250 0.250
3 Sb 0.750 0.750 0.750

Output
Its space group is F-43m, No. 216. As for the density: 8279 kg/m³.

***

The structure with the least stability is x).

***

w) First-principles (PBE) data for crystalline GdSc at its relaxed geometry, as listed in OQMD.

a = 4.651 Å, b = 4.651 Å, c = 4.651 Å
α = 60.00°, β = 60.00°, γ = 60.00°
Element x y z (fractional)
1 Sc 0.250 0.250 0.250
2 Gd 0.000 0.000 0.000

Output
Its space group is F-43m, No. 216. As for the density: 4718 kg/m³.

***

x) First-principles (PBE) data for crystalline GdSc at its relaxed geometry, as listed in OQMD.

a = 4.375 Å, b = 4.375 Å, c = 4.375 Å
α = 60.00°, β = 60.00°, γ = 60.00°
Last column: magnetic moment on the atom in μB.
Element x y z (fractional)
1 Gd 0.000 0.000 0.000  0.46
2 Sc 0.500 0.500 0.500  0.53

Output
Its space group is Fm-3m, No. 225. As for the density: 5672 kg/m³.

***

y) First-principles (PBE) data for crystalline GdSc at its relaxed geometry, as listed in OQMD.

a = 3.466 Å, b = 3.466 Å, c = 5.419 Å
α = 90.00°, β = 90.00°, γ = 120.00°
Last column: magnetic moment on the atom in μB.
Element x y z (fractional)
1 Sc 0.333 0.667 0.250  0.05
2 Gd 0.667 0.333 0.750  0.01

Output
Its space group is P-6m2, No. 187. As for the density: 5956 kg/m³.

***

The structure with the least stability is w).

***

w) First-principles (PBE) data for crystalline GdThSc at its relaxed geometry, as listed in OQMD.

a = 5.268 Å, b = 5.268 Å, c = 5.268 Å
α = 60.00°, β = 60.00°, γ = 60.00°
Element x y z (fractional)
1 Sc 0.000 0.000 0.000
2 Th 0.750 0.750 0.750
3 Gd 0.250 0.250 0.250

Output
Its space group is F-43m, No. 216. As for the density: 6974 kg/m³.

***

x) First-principles (PBE) data for crystalline GdThSc at its relaxed geometry, as listed in OQMD.

a = 4.620 Å, b = 4.620 Å, c = 4.620 Å
α = 76.76°, β = 76.76°, γ = 76.76°
Element x y z (fractional)
1 Gd 0.120 0.120 0.120
2 Sc 0.439 0.439 0.439
3 Th 0.771 0.771 0.771

Output
Its space group is R3m, No. 160. As for the density: 7853 kg/m³.

***

The structure with the least stability is w).

***

w) First-principles (PBE) data for crystalline GdScTl at its relaxed geometry, as listed in OQMD.

a = 5.061 Å, b = 5.061 Å, c = 5.061 Å
α = 60.00°, β = 60.00°, γ = 60.00°
Last column: magnetic moment on the atom in μB.
Element x y z (fractional)
1 Tl 0.750 0.750 0.750  -0.01
2 Gd 0.000 0.000 0.000  0.16
3 Sc 0.250 0.250 0.250  0.26

Output
Its space group is F-43m, No. 216. As for the density: 7367 kg/m³.

***

x) First-principles (PBE) data for crystalline GdScTl at its relaxed geometry, as listed in OQMD.

a = 5.279 Å, b = 5.279 Å, c = 6.488 Å
α = 90.00°, β = 90.00°, γ = 120.00°
Last column: magnetic moment on the atom in μB.
Element x y z (fractional)
1 Sc 0.000 0.000 0.000  0.45
2 Sc 0.000 0.000 0.500  0.45
3 Gd 0.667 0.333 0.750  0.20
4 Gd 0.333 0.667 0.250  0.20
5 Tl 0.333 0.667 0.750  -0.01
6 Tl 0.667 0.333 0.250  -0.01

Output
Its space group is P6_3/mmc, No. 194. As for the density: 8624 kg/m³.

***

The structure with the least stability is w).

***

w) First-principles (PBE) data for crystalline GdScTl at its relaxed geometry, as listed in OQMD.

a = 5.035 Å, b = 5.035 Å, c = 5.035 Å
α = 60.00°, β = 60.00°, γ = 60.00°
Element x y z (fractional)
1 Sc 0.750 0.750 0.750
2 Gd 0.250 0.250 0.250
3 Tl 0.000 0.000 0.000

Output
Its space group is F-43m, No. 216. As for the density: 7479 kg/m³.

***

x) First-principles (PBE) data for crystalline GdScTl at its relaxed geometry, as listed in OQMD.

a = 5.208 Å, b = 5.208 Å, c = 6.566 Å
α = 90.00°, β = 90.00°, γ = 120.00°
Element x y z (fractional)
1 Sc 0.333 0.667 0.250
2 Sc 0.667 0.333 0.750
3 Tl 0.333 0.667 0.750
4 Tl 0.667 0.333 0.250
5 Gd 0.000 0.000 0.000
6 Gd 0.000 0.000 0.500

Output
Its space group is P6_3/mmc, No. 194. As for the density: 8757 kg/m³.

***

The structure with the least stability is w).

***

w) First-principles (PBE) data for crystalline GdScW at its relaxed geometry, as listed in OQMD.

a = 4.714 Å, b = 4.714 Å, c = 4.714 Å
α = 60.00°, β = 60.00°, γ = 60.00°
Element x y z (fractional)
1 W 0.750 0.750 0.750
2 Sc 0.250 0.250 0.250
3 Gd 0.000 0.000 0.000

Output
Its space group is F-43m, No. 216. As for the density: 8653 kg/m³.

***

x) First-principles (PBE) data for crystalline GdScW at its relaxed geometry, as listed in OQMD.

a = 4.729 Å, b = 4.729 Å, c = 4.729 Å
α = 60.00°, β = 60.00°, γ = 60.00°
Element x y z (fractional)
1 Gd 0.250 0.250 0.250
2 W 0.750 0.750 0.750
3 Sc 0.000 0.000 0.000

Output
Its space group is F-43m, No. 216. As for the density: 8575 kg/m³.

***

The structure with the least stability is w).

***

w) First-principles (PBE) data for crystalline GdTlSi at its relaxed geometry, as listed in OQMD.

a = 4.822 Å, b = 4.822 Å, c = 4.822 Å
α = 60.00°, β = 60.00°, γ = 60.00°
Element x y z (fractional)
1 Gd 0.250 0.250 0.250
2 Tl 0.750 0.750 0.750
3 Si 0.000 0.000 0.000

Output
Its space group is F-43m, No. 216. As for the density: 8162 kg/m³.

***

x) First-principles (PBE) data for crystalline GdTlSi at its relaxed geometry, as listed in OQMD.

a = 4.948 Å, b = 4.948 Å, c = 4.948 Å
α = 60.00°, β = 60.00°, γ = 60.00°
Element x y z (fractional)
1 Tl 0.750 0.750 0.750
2 Si 0.250 0.250 0.250
3 Gd 0.000 0.000 0.000

Output
Its space group is F-43m, No. 216. As for the density: 7554 kg/m³.

***

The structure with the least stability is x).

***

w) First-principles (PBE) data for crystalline Gd3Tl5Sn2 at its relaxed geometry, as listed in OQMD.

a = 12.372 Å, b = 12.372 Å, c = 4.673 Å
α = 90.00°, β = 90.00°, γ = 157.88°
Element x y z (fractional)
1 Tl 0.099 0.901 0.000
2 Tl 0.901 0.099 0.000
3 Tl 0.000 0.000 0.500
4 Tl 0.794 0.206 0.500
5 Tl 0.206 0.794 0.500
6 Sn 0.402 0.598 0.500
7 Sn 0.598 0.402 0.500
8 Gd 0.689 0.311 0.000
9 Gd 0.311 0.689 0.000
10 Gd 0.500 0.500 0.000

Output
Its space group is Cmmm, No. 65. As for the density: 10671 kg/m³.

***

x) First-principles (PBE) data for crystalline Gd3Tl5Sn2 at its relaxed geometry, as listed in OQMD.

a = 12.657 Å, b = 12.657 Å, c = 4.686 Å
α = 90.00°, β = 90.00°, γ = 159.00°
Element x y z (fractional)
1 Sn 0.707 0.293 0.000
2 Sn 0.293 0.707 0.000
3 Gd 0.191 0.809 0.500
4 Gd 0.000 0.000 0.500
5 Gd 0.809 0.191 0.500
6 Tl 0.099 0.901 0.000
7 Tl 0.901 0.099 0.000
8 Tl 0.403 0.597 0.500
9 Tl 0.597 0.403 0.500
10 Tl 0.500 0.500 0.000

Output
Its space group is Cmmm, No. 65. As for the density: 10687 kg/m³.

***

The structure with the least stability is w).